# 1
8
Lattice="0.000 3.949 6.237 2.403 0.000 6.237 2.403 3.949 0.000" Properties=species:S:1:pos:R:3 comment="BeF, relaxed, DFT GGA-PBE" dos_at_fermi_per_ev_fu=0.00 e_form_raw_mev_per_atom=-1894 pbc="T T T"
Be 1.802 0.077 4.678
Be 3.003 2.052 7.797
Be 1.802 5.847 4.678
Be 3.003 7.821 7.797
F 1.802 2.962 1.893
F 3.003 4.937 5.012
F 1.802 2.962 7.463
F 3.003 4.937 10.582

# 2
24
Lattice="7.690 0.000 0.000 0.000 16.069 0.000 0.000 0.000 4.278" Properties=species:S:1:pos:R:3 comment="AcPaSi4, relaxed, DFT GGA-PBE" dos_at_fermi_per_ev_fu=4.66 e_form_raw_mev_per_atom=-430 pbc="T T T"
Ac 0.949 2.563 0.000
Ac 2.896 10.597 0.000
Ac 4.794 5.472 0.000
Ac 6.741 13.506 0.000
Pa 0.968 6.656 0.000
Pa 2.877 14.691 0.000
Pa 4.813 1.378 0.000
Pa 6.722 9.413 0.000
Si 0.256 11.099 2.139
Si 0.898 15.254 2.139
Si 1.025 8.755 2.139
Si 1.693 12.961 2.139
Si 2.151 4.927 2.139
Si 2.820 0.720 2.139
Si 2.947 7.220 2.139
Si 3.589 3.064 2.139
Si 4.101 13.005 2.139
Si 4.743 8.849 2.139
Si 4.870 15.349 2.139
Si 5.538 11.143 2.139
Si 5.996 3.108 2.139
Si 6.665 7.315 2.139
Si 6.792 0.815 2.139
Si 7.434 4.970 2.139

# 3
4
Lattice="0.000 3.677 3.677 3.677 0.000 3.677 3.677 3.677 0.000" Properties=species:S:1:pos:R:3 comment="LaNdSiPd, relaxed, DFT GGA-PBE" dos_at_fermi_per_ev_fu=1.87 e_form_raw_mev_per_atom=-630 pbc="T T T"
La 0.000 0.000 0.000
Nd 3.677 3.677 3.677
Si 1.838 1.838 1.838
Pd 5.515 5.515 5.515

Number 1: offset from the most stable computed form 0.114 eV/atom. Number 2: offset from the most stable computed form 0.000 eV/atom. Number 3: offset from the most stable computed form 0.133 eV/atom.